Record 1
Crystalline HfZn23Pd6 at its relaxed geometry. Source: Alexandria, functional PBE.

abc: 8.6048 8.6048 8.6048
angles: 60.00 60.00 60.00
Element x y z (fractional)
Hf1 0.0000 0.0000 0.0000
Zn1 0.0000 0.0000 0.5000
Zn2 0.0000 0.5000 0.0000
Zn3 0.0000 0.5000 0.5000
Zn4 0.1261 0.6246 0.6246
Zn5 0.1454 0.1454 0.1454
Zn6 0.1454 0.1454 0.5639
Zn7 0.1454 0.5639 0.1454
Zn8 0.3754 0.3754 0.3754
Zn9 0.3754 0.3754 0.8739
Zn10 0.3754 0.8739 0.3754
Zn11 0.4361 0.8546 0.8546
Zn12 0.5000 0.0000 0.0000
Zn13 0.5000 0.0000 0.5000
Zn14 0.5000 0.5000 0.0000
Zn15 0.5000 0.5000 0.5000
Zn16 0.5639 0.1454 0.1454
Zn17 0.6246 0.1261 0.6246
Zn18 0.6246 0.6246 0.1261
Zn19 0.6246 0.6246 0.6246
Zn20 0.8546 0.4361 0.8546
Zn21 0.8546 0.8546 0.4361
Zn22 0.8546 0.8546 0.8546
Zn23 0.8739 0.3754 0.3754
Pd1 0.2333 0.2333 0.7667
Pd2 0.2333 0.7667 0.2333
Pd3 0.2333 0.7667 0.7667
Pd4 0.7667 0.2333 0.2333
Pd5 0.7667 0.2333 0.7667
Pd6 0.7667 0.7667 0.2333

## Properties
- Uncorrected energy: -2.56 eV/atom
- V: 451 Å³/cell
- Density of states at the Fermi level: 7.7 states/eV/f.u.
- Formation enthalpy at 0 K: -215.9 meV/atom
- Mass density: 8.56 g/cm³

Record 2
Crystalline HfZrZnPd at its relaxed geometry. Source: Alexandria, functional PBE.

abc: 3.3755 3.3755 6.4994
angles: 90.00 90.00 90.00
Element x y z (fractional)
Hf1 0.0000 0.0000 0.0000
Zr1 0.0000 0.0000 0.4967
Zn1 0.5000 0.5000 0.2431
Pd1 0.5000 0.5000 0.7743

## Properties
- Uncorrected energy: -6.66 eV/atom
- V: 74 Å³/cell
- Density of states at the Fermi level: 3.6 states/eV/f.u.
- Formation enthalpy at 0 K: -421.9 meV/atom
- Mass density: 9.90 g/cm³

Record 3
Crystalline Hf2Zr2Pd at its relaxed geometry. Source: Alexandria, functional PBE.

abc: 3.3366 5.8313 5.8432
angles: 84.64 73.55 73.46
Element x y z (fractional)
Hf1 0.0880 0.1953 0.1288
Hf2 0.9120 0.8047 0.8712
Zr1 0.2897 0.6229 0.2985
Zr2 0.7103 0.3771 0.7015
Pd1 0.5000 0.0000 0.5000

## Properties
- Uncorrected energy: -8.69 eV/atom
- V: 105 Å³/cell
- Energy relative to the lowest polymorph listed for this composition: 0.0 meV/atom
- Density of states at the Fermi level: 4.9 states/eV/f.u.
- Formation enthalpy at 0 K: -253.4 meV/atom
- Mass density: 10.26 g/cm³

Record 4
Crystalline Hf2ZrPd at its relaxed geometry. Source: Alexandria, functional PBE.

abc: 4.6024 4.6024 14.7823
angles: 90.00 90.00 120.00
Element x y z (fractional)
Hf1 0.0000 0.0000 0.0000
Hf2 0.0000 0.0000 0.2129
Hf3 0.3333 0.6667 0.6667
Hf4 0.3333 0.6667 0.8795
Hf5 0.6667 0.3333 0.3333
Hf6 0.6667 0.3333 0.5462
Zr1 0.0000 0.0000 0.7819
Zr2 0.3333 0.6667 0.4486
Zr3 0.6667 0.3333 0.1152
Pd1 0.0000 0.0000 0.5904
Pd2 0.3333 0.6667 0.2571
Pd3 0.6667 0.3333 0.9238

## Properties
- Uncorrected energy: -8.35 eV/atom
- V: 271 Å³/cell
- Energy relative to the lowest polymorph listed for this composition: 422.0 meV/atom
- Density of states at the Fermi level: 5.3 states/eV/f.u.
- Formation enthalpy at 0 K: 58.3 meV/atom
- Mass density: 10.19 g/cm³

Record 5
Crystalline HfZrPd at its relaxed geometry. Source: Alexandria, functional PBE.

abc: 4.6611 4.6611 3.2147
angles: 90.00 90.00 120.00
Element x y z (fractional)
Hf1 0.0000 0.0000 0.0000
Zr1 0.3333 0.6667 0.4435
Pd1 0.6667 0.3333 0.7539

## Properties
- Uncorrected energy: -8.07 eV/atom
- V: 60 Å³/cell
- Energy relative to the lowest polymorph listed for this composition: 334.7 meV/atom
- Density of states at the Fermi level: 4.1 states/eV/f.u.
- Formation enthalpy at 0 K: -176.3 meV/atom
- Mass density: 10.33 g/cm³

Record 6
Crystalline HfZrPd at its relaxed geometry. Source: Alexandria, functional PBE.

abc: 3.1972 3.1972 20.5746
angles: 90.00 90.00 120.00
Element x y z (fractional)
Hf1 0.0000 0.0000 0.0000
Hf2 0.3333 0.6667 0.6667
Hf3 0.6667 0.3333 0.3333
Zr1 0.0000 0.0000 0.7860
Zr2 0.3333 0.6667 0.4527
Zr3 0.6667 0.3333 0.1194
Pd1 0.0000 0.0000 0.5606
Pd2 0.3333 0.6667 0.2273
Pd3 0.6667 0.3333 0.8939

## Properties
- Uncorrected energy: -8.19 eV/atom
- V: 182 Å³/cell
- Energy relative to the lowest polymorph listed for this composition: 221.2 meV/atom
- Density of states at the Fermi level: 2.8 states/eV/f.u.
- Formation enthalpy at 0 K: -289.9 meV/atom
- Mass density: 10.29 g/cm³

Record 7
Crystalline Hf2ZrPd at its relaxed geometry. Source: Alexandria, functional PBE.

abc: 4.9671 4.9671 3.2497
angles: 90.00 90.00 90.00
Element x y z (fractional)
Hf1 0.0000 0.5000 0.0000
Hf2 0.5000 0.0000 0.0000
Zr1 0.0000 0.0000 0.5000
Pd1 0.5000 0.5000 0.5000

## Properties
- Uncorrected energy: -8.63 eV/atom
- V: 80 Å³/cell
- Energy relative to the lowest polymorph listed for this composition: 144.2 meV/atom
- Density of states at the Fermi level: 5.3 states/eV/f.u.
- Formation enthalpy at 0 K: -219.5 meV/atom
- Mass density: 11.49 g/cm³

Record 8
Crystalline HfZr2Pd4 at its relaxed geometry. Source: Alexandria, functional PBE.

abc: 4.8811 4.8811 13.4813
angles: 90.00 90.00 90.00
Element x y z (fractional)
Hf1 0.0000 0.0000 0.0000
Hf2 0.5000 0.5000 0.5000
Zr1 0.0000 0.0000 0.3817
Zr2 0.0000 0.0000 0.6183
Zr3 0.5000 0.5000 0.1183
Zr4 0.5000 0.5000 0.8817
Pd1 0.0000 0.0000 0.1898
Pd2 0.0000 0.0000 0.8102
Pd3 0.0000 0.5000 0.0000
Pd4 0.0000 0.5000 0.5000
Pd5 0.5000 0.0000 0.0000
Pd6 0.5000 0.0000 0.5000
Pd7 0.5000 0.5000 0.3102
Pd8 0.5000 0.5000 0.6898

## Properties
- Uncorrected energy: -6.64 eV/atom
- V: 321 Å³/cell
- Density of states at the Fermi level: 6.8 states/eV/f.u.
- Formation enthalpy at 0 K: 190.2 meV/atom
- Mass density: 8.13 g/cm³